ZnPRu4: optimized geometry, PBE.

Space group: No. 216
Crystal system: cubic
Energy of formation from the pure elements (eV per formula unit): 4.19

Cell: 5.1000 5.1000 5.1000 Å, 60.00 60.00 60.00°
Element x y z (fractional)
Ru 0.3746 0.3746 0.3746
Ru 0.8762 0.3746 0.3746
Ru 0.3746 0.8762 0.3746
Ru 0.3746 0.3746 0.8762
Zn 0.7500 0.7500 0.7500
P 0.0000 0.0000 0.0000

***

Pr2TeF: optimized geometry, PBE.

Formation energy without anion corrections (meV per atom): -1770
Space group: No. 166
Crystal system: trigonal

Cell: 4.0548 4.0548 7.5645 Å, 74.45 74.45 60.00°
Element x y z (fractional)
Pr 0.2674 0.2674 0.1979
Pr 0.7326 0.7326 0.8021
F 0.0000 0.0000 0.0000
Te 0.5000 0.5000 0.5000